1.
8
Lattice="6.8615 0.0000 0.0000 0.0000 3.9786 0.0000 -2.3069 0.0000 6.5219" Properties=species:S:1:pos:R:3 comment="Tb4PS2Cl GGA-PBE optimized geometry" magnetic_moment_mub_per_atom=0.00 total_energy_ev_per_atom=-6.026 sg=P2/m crystal_system=monoclinic raw_formation_energy_mev_per_atom=-1772 pbc="T T T"
Tb 1.0487 0.0000 1.4404
Tb -0.1034 1.9893 5.0185
Tb 4.6579 1.9893 1.5034
Tb 3.5058 0.0000 5.0815
P 3.4307 0.0000 0.0000
S -1.1535 0.0000 3.2610
S 0.0000 1.9893 0.0000
Cl 2.2773 1.9893 3.2610

***

2.
5
Lattice="4.9311 0.0000 0.0000 0.0000 4.9311 0.0000 0.0000 0.0000 4.5114" Properties=species:S:1:pos:R:3 comment="TcPSCl2 GGA-PBE optimized geometry" magnetic_moment_mub_per_atom=0.28 total_energy_ev_per_atom=-4.208 sg=P4/mmm crystal_system=tetragonal polymorph_energy_mev_per_atom=0.0 raw_formation_energy_mev_per_atom=511 pbc="T T T"
Tc 0.0000 0.0000 0.0000
P 2.4655 2.4655 2.2557
S 0.0000 0.0000 2.2557
Cl 0.0000 2.4655 0.0000
Cl 2.4655 0.0000 0.0000

***

3.
5
Lattice="4.6229 0.0000 0.0000 0.0000 4.6229 0.0000 0.0000 0.0000 4.6534" Properties=species:S:1:pos:R:3 comment="TcP2SCl GGA-PBE optimized geometry" magnetic_moment_mub_per_atom=0.00 total_energy_ev_per_atom=-4.868 sg=P4/mmm crystal_system=tetragonal polymorph_energy_mev_per_atom=171.3 raw_formation_energy_mev_per_atom=564 pbc="T T T"
Tc 0.0000 0.0000 0.0000
P 0.0000 2.3114 0.0000
P 2.3114 0.0000 0.0000
S 2.3114 2.3114 2.3267
Cl 0.0000 0.0000 2.3267

***

4.
5
Lattice="4.4820 0.0000 0.0000 0.0000 4.4820 0.0000 0.0000 0.0000 4.6793" Properties=species:S:1:pos:R:3 comment="TcP2SCl GGA-PBE optimized geometry" magnetic_moment_mub_per_atom=0.53 total_energy_ev_per_atom=-3.826 sg=P4/mmm crystal_system=tetragonal polymorph_energy_mev_per_atom=1212.6 raw_formation_energy_mev_per_atom=1606 pbc="T T T"
Tc 0.0000 0.0000 0.0000
P 0.0000 2.2410 2.3397
P 2.2410 0.0000 2.3397
S 2.2410 2.2410 0.0000
Cl 2.2410 2.2410 2.3397

***

5.
5
Lattice="4.5872 0.0000 0.0000 0.0000 4.5872 0.0000 0.0000 0.0000 5.0709" Properties=species:S:1:pos:R:3 comment="TcPSCl2 GGA-PBE optimized geometry" magnetic_moment_mub_per_atom=0.86 total_energy_ev_per_atom=-3.612 sg=P4/mmm crystal_system=tetragonal polymorph_energy_mev_per_atom=596.5 raw_formation_energy_mev_per_atom=1107 pbc="T T T"
Tc 0.0000 0.0000 0.0000
P 2.2936 2.2936 0.0000
S 2.2936 2.2936 2.5354
Cl 0.0000 2.2936 2.5354
Cl 2.2936 0.0000 2.5354

***

6.
5
Lattice="4.7198 0.0000 0.0000 0.0000 4.7198 0.0000 0.0000 0.0000 4.7914" Properties=species:S:1:pos:R:3 comment="TcPSCl2 GGA-PBE optimized geometry" magnetic_moment_mub_per_atom=0.96 total_energy_ev_per_atom=-3.977 sg=P4/mmm crystal_system=tetragonal polymorph_energy_mev_per_atom=231.0 raw_formation_energy_mev_per_atom=742 pbc="T T T"
Tc 0.0000 0.0000 0.0000
P 2.3599 2.3599 2.3957
S 2.3599 2.3599 0.0000
Cl 0.0000 2.3599 2.3957
Cl 2.3599 0.0000 2.3957

***

7.
5
Lattice="4.6359 0.0000 0.0000 0.0000 4.6359 0.0000 0.0000 0.0000 4.3955" Properties=species:S:1:pos:R:3 comment="TcP2SCl GGA-PBE optimized geometry" magnetic_moment_mub_per_atom=0.63 total_energy_ev_per_atom=-4.187 sg=P4/mmm crystal_system=tetragonal polymorph_energy_mev_per_atom=852.2 raw_formation_energy_mev_per_atom=1245 pbc="T T T"
Tc 0.0000 0.0000 0.0000
P 0.0000 2.3179 2.1978
P 2.3179 0.0000 2.1978
S 2.3179 2.3179 2.1978
Cl 2.3179 2.3179 0.0000

***

8.
5
Lattice="4.6265 0.0000 0.0000 0.0000 4.6265 0.0000 0.0000 0.0000 4.7714" Properties=species:S:1:pos:R:3 comment="TcPSCl2 GGA-PBE optimized geometry" magnetic_moment_mub_per_atom=0.00 total_energy_ev_per_atom=-4.206 sg=P4/mmm crystal_system=tetragonal polymorph_energy_mev_per_atom=2.0 raw_formation_energy_mev_per_atom=513 pbc="T T T"
Tc 0.0000 0.0000 0.0000
P 0.0000 0.0000 2.3857
S 2.3133 2.3133 2.3857
Cl 0.0000 2.3133 0.0000
Cl 2.3133 0.0000 0.0000

***

9.
5
Lattice="4.6853 0.0000 0.0000 0.0000 4.6853 0.0000 0.0000 0.0000 4.5302" Properties=species:S:1:pos:R:3 comment="TcP2SCl GGA-PBE optimized geometry" magnetic_moment_mub_per_atom=0.00 total_energy_ev_per_atom=-5.039 sg=P4/mmm crystal_system=tetragonal polymorph_energy_mev_per_atom=0.0 raw_formation_energy_mev_per_atom=393 pbc="T T T"
Tc 0.0000 0.0000 0.0000
P 0.0000 2.3427 0.0000
P 2.3427 0.0000 0.0000
S 0.0000 0.0000 2.2651
Cl 2.3427 2.3427 2.2651

***

10.
5
Lattice="4.7157 0.0000 0.0000 0.0000 4.7157 0.0000 0.0000 0.0000 4.5749" Properties=species:S:1:pos:R:3 comment="TePS2Cl GGA-PBE optimized geometry" magnetic_moment_mub_per_atom=0.00 total_energy_ev_per_atom=-3.360 sg=P4/mmm crystal_system=tetragonal polymorph_energy_mev_per_atom=0.0 raw_formation_energy_mev_per_atom=371 pbc="T T T"
Te 0.0000 0.0000 0.0000
P 2.3579 2.3579 2.2874
S 0.0000 2.3579 2.2874
S 2.3579 0.0000 2.2874
Cl 2.3579 2.3579 0.0000

***

11.
5
Lattice="4.9979 0.0000 0.0000 0.0000 4.9979 0.0000 0.0000 0.0000 5.4520" Properties=species:S:1:pos:R:3 comment="TePS2Cl GGA-PBE optimized geometry" magnetic_moment_mub_per_atom=0.14 total_energy_ev_per_atom=-2.771 sg=P4/mmm crystal_system=tetragonal polymorph_energy_mev_per_atom=588.5 raw_formation_energy_mev_per_atom=959 pbc="T T T"
Te 0.0000 0.0000 0.0000
P 0.0000 0.0000 2.7260
S 0.0000 2.4989 0.0000
S 2.4989 0.0000 0.0000
Cl 2.4989 2.4989 2.7260

***

12.
14
Lattice="4.8306 -5.5906 0.0000 4.8306 5.5906 0.0000 -3.6319 0.0000 9.9199" Properties=species:S:1:pos:R:3 comment="TePS4Cl GGA-PBE optimized geometry" magnetic_moment_mub_per_atom=0.00 total_energy_ev_per_atom=-3.931 sg=C2/m crystal_system=monoclinic raw_formation_energy_mev_per_atom=-87 pbc="T T T"
Te 2.1437 0.0000 0.0590
Te 3.8857 0.0000 9.8609
P 0.6346 0.0000 7.5028
P 5.3948 0.0000 2.4170
S -0.1592 1.6238 8.6044
S 0.2713 0.0000 5.6126
S 3.3042 0.0000 2.3163
S -0.1592 -1.6238 8.6044
S 6.1886 1.6238 1.3155
S 2.7252 0.0000 7.6035
S 5.7582 0.0000 4.3073
S 6.1886 -1.6238 1.3155
Cl 0.0374 0.0000 1.8752
Cl 5.9920 0.0000 8.0447

***

13.
5
Lattice="4.6661 0.0000 0.0000 0.0000 4.6661 0.0000 0.0000 0.0000 4.8494" Properties=species:S:1:pos:R:3 comment="TePS2Cl GGA-PBE optimized geometry" magnetic_moment_mub_per_atom=0.00 total_energy_ev_per_atom=-2.555 sg=P4/mmm crystal_system=tetragonal polymorph_energy_mev_per_atom=804.9 raw_formation_energy_mev_per_atom=1176 pbc="T T T"
Te 0.0000 0.0000 0.0000
P 2.3331 2.3331 0.0000
S 0.0000 2.3331 2.4247
S 2.3331 0.0000 2.4247
Cl 2.3331 2.3331 2.4247

***

14.
5
Lattice="4.8279 0.0000 0.0000 0.0000 4.8279 0.0000 0.0000 0.0000 4.5158" Properties=species:S:1:pos:R:3 comment="TiP2SCl GGA-PBE optimized geometry" magnetic_moment_mub_per_atom=0.00 total_energy_ev_per_atom=-4.670 sg=P4/mmm crystal_system=tetragonal polymorph_energy_mev_per_atom=140.8 raw_formation_energy_mev_per_atom=268 pbc="T T T"
Ti 0.0000 0.0000 0.0000
P 0.0000 2.4140 0.0000
P 2.4140 0.0000 0.0000
S 2.4140 2.4140 2.2579
Cl 0.0000 0.0000 2.2579

***

15.
5
Lattice="4.4925 0.0000 0.0000 0.0000 4.4925 0.0000 0.0000 0.0000 4.6097" Properties=species:S:1:pos:R:3 comment="TiP2SCl GGA-PBE optimized geometry" magnetic_moment_mub_per_atom=0.01 total_energy_ev_per_atom=-4.241 sg=P4/mmm crystal_system=tetragonal polymorph_energy_mev_per_atom=569.8 raw_formation_energy_mev_per_atom=697 pbc="T T T"
Ti 0.0000 0.0000 0.0000
P 0.0000 2.2462 2.3049
P 2.2462 0.0000 2.3049
S 2.2462 2.2462 2.3049
Cl 2.2462 2.2462 0.0000

***

16.
5
Lattice="4.4537 0.0000 0.0000 0.0000 4.4537 0.0000 0.0000 0.0000 4.6746" Properties=species:S:1:pos:R:3 comment="TiP2SCl GGA-PBE optimized geometry" magnetic_moment_mub_per_atom=0.00 total_energy_ev_per_atom=-3.938 sg=P4/mmm crystal_system=tetragonal polymorph_energy_mev_per_atom=873.2 raw_formation_energy_mev_per_atom=1000 pbc="T T T"
Ti 0.0000 0.0000 0.0000
P 0.0000 2.2268 2.3373
P 2.2268 0.0000 2.3373
S 2.2268 2.2268 0.0000
Cl 2.2268 2.2268 2.3373

***

17.
5
Lattice="4.8019 0.0000 0.0000 0.0000 4.8019 0.0000 0.0000 0.0000 4.5552" Properties=species:S:1:pos:R:3 comment="TiP2SCl GGA-PBE optimized geometry" magnetic_moment_mub_per_atom=0.00 total_energy_ev_per_atom=-4.811 sg=P4/mmm crystal_system=tetragonal polymorph_energy_mev_per_atom=0.0 raw_formation_energy_mev_per_atom=127 pbc="T T T"
Ti 0.0000 0.0000 0.0000
P 0.0000 2.4009 0.0000
P 2.4009 0.0000 0.0000
S 0.0000 0.0000 2.2776
Cl 2.4009 2.4009 2.2776

***

18.
12
Lattice="9.6090 0.0000 0.0000 0.0000 4.8842 4.0365 0.0000 -4.8842 4.0365" Properties=species:S:1:pos:R:3 comment="Tl5PS4Cl2 GGA-PBE optimized geometry" magnetic_moment_mub_per_atom=0.00 total_energy_ev_per_atom=-3.717 sg=Amm2 crystal_system=orthorhombic raw_formation_energy_mev_per_atom=-596 pbc="T T T"
Tl 0.0000 0.0000 0.0000
Tl 2.5267 -1.8758 4.0538
Tl 2.5267 1.8758 4.0538
Tl 7.0823 -1.8758 4.0538
Tl 7.0823 1.8758 4.0538
P 4.8045 0.0000 7.5942
S 3.1191 0.0000 0.7184
S 4.8045 -1.6963 6.4271
S 4.8045 1.6963 6.4271
S 6.4899 0.0000 0.7184
Cl 0.0000 -2.3956 6.0844
Cl 0.0000 2.3956 6.0844

***

19.
5
Lattice="5.2598 0.0000 0.0000 0.0000 5.2598 0.0000 0.0000 0.0000 5.1334" Properties=species:S:1:pos:R:3 comment="TlP2SCl GGA-PBE optimized geometry" magnetic_moment_mub_per_atom=0.17 total_energy_ev_per_atom=-2.566 sg=P4/mmm crystal_system=tetragonal polymorph_energy_mev_per_atom=875.5 raw_formation_energy_mev_per_atom=1266 pbc="T T T"
Tl 0.0000 0.0000 0.0000
P 0.0000 2.6299 0.0000
P 2.6299 0.0000 0.0000
S 2.6299 2.6299 2.5667
Cl 0.0000 0.0000 2.5667

***

20.
5
Lattice="4.7365 0.0000 0.0000 0.0000 4.7365 0.0000 0.0000 0.0000 5.1408" Properties=species:S:1:pos:R:3 comment="TlP2SCl GGA-PBE optimized geometry" magnetic_moment_mub_per_atom=0.14 total_energy_ev_per_atom=-2.770 sg=P4/mmm crystal_system=tetragonal polymorph_energy_mev_per_atom=672.3 raw_formation_energy_mev_per_atom=1062 pbc="T T T"
Tl 0.0000 0.0000 0.0000
P 0.0000 2.3683 2.5704
P 2.3683 0.0000 2.5704
S 2.3683 2.3683 0.0000
Cl 2.3683 2.3683 2.5704

***

| no. | calculated volume (Å³/cell) |
| --- | --- |
| 1 | 178.04 |
| 2 | 109.70 |
| 3 | 99.45 |
| 4 | 94.00 |
| 5 | 106.71 |
| 6 | 106.74 |
| 7 | 94.47 |
| 8 | 102.13 |
| 9 | 99.45 |
| 10 | 101.74 |
| 11 | 136.18 |
| 12 | 535.80 |
| 13 | 105.59 |
| 14 | 105.26 |
| 15 | 93.04 |
| 16 | 92.72 |
| 17 | 105.03 |
| 18 | 378.89 |
| 19 | 142.02 |
| 20 | 115.33 |